[1]
This record from the Alexandria database describes a geometry-optimized Ti5Cu2Pt structure. The functional is PBE-GGA.

The structure belongs to space group I4/mcm (No. 140); the cell edges are 6.385, 6.385 and 12.541 Å and the angles 90.00°, 90.00° and 90.00°. Symmetry generates all atoms from Ti at (0.000, 0.000, 0.000), Ti at (0.160, 0.340, 0.156), Cu at (0.132, 0.368, 0.500) and Pt at (0.000, 0.000, 0.250).

---

[2]
This record from the Alexandria database describes a geometry-optimized TiCu2Pt9 structure. The functional is PBE-GGA.

The structure belongs to space group P4/mmm (No. 123); the cell edges are 3.922, 3.922 and 11.740 Å and the angles 90.00°, 90.00° and 90.00°. Symmetry generates all atoms from Ti at (0.000, 0.000, 0.000), Cu at (0.000, 0.000, 0.337), Pt at (0.000, 0.500, 0.166), Pt at (0.000, 0.500, 0.500), Pt at (0.500, 0.500, 0.000) and Pt at (0.500, 0.500, 0.333).

---

[3]
This record from the Alexandria database describes a geometry-optimized Ti2Cu2Pt structure. The functional is PBE-GGA.

The calculation puts the polymorph energy (0 for the lowest one) at 141 meV per atom.

The structure belongs to space group Cmmm (No. 65); the cell edges are 4.399, 6.644 and 5.409 Å and the angles 90.00°, 90.00° and 90.00°. Symmetry generates all atoms from Ti at (0.000, 0.000, 0.245), Cu at (0.000, 0.327, 0.000) and Pt at (0.000, 0.500, 0.500).

---

[4]
This record from the Alexandria database describes a geometry-optimized Ti2CuPt3 structure. The functional is PBE-GGA.

The structure belongs to space group Ibam (No. 72); the cell edges are 6.672, 12.087 and 5.402 Å and the angles 90.00°, 90.00° and 90.00°. Symmetry generates all atoms from Ti at (0.167, 0.156, 0.000), Cu at (0.000, 0.500, 0.000), Pt at (0.000, 0.000, 0.250) and Pt at (0.000, 0.312, 0.250).

---

[5]
This record from the Alexandria database describes a geometry-optimized TiCuPt4 structure. The functional is PBE-GGA.

The calculation puts the polymorph energy (0 for the lowest one) at 36 meV per atom.

The structure belongs to space group C2/m (No. 12); the cell edges are 8.674, 2.840 and 8.559 Å and the angles 90.00°, 115.91° and 90.00°. Symmetry generates all atoms from Ti at (0.000, 0.000, 0.000), Cu at (0.000, 0.500, 0.500), Pt at (0.151, 0.500, 0.847) and Pt at (0.152, 0.000, 0.346).

---

[6]
This record from the Alexandria database describes a geometry-optimized Ti2Cu3Pt4 structure. The functional is PBE-GGA.

The structure belongs to space group C2/m (No. 12); the cell edges are 8.488, 3.904 and 8.130 Å and the angles 90.00°, 106.10° and 90.00°. Symmetry generates all atoms from Ti at (0.171, 0.000, 0.225), Cu at (0.000, 0.500, 0.000), Cu at (0.162, 0.000, 0.550), Pt at (0.012, 0.500, 0.334) and Pt at (0.164, 0.000, 0.888).

---

[7]
This record from the Alexandria database describes a geometry-optimized Ti4Cu4Pt3 structure. The functional is PBE-GGA.

The structure belongs to space group C2/m (No. 12); the cell edges are 30.333, 3.762 and 2.796 Å and the angles 90.00°, 95.26° and 90.00°. Symmetry generates all atoms from Ti at (0.049, 0.000, 0.048), Ti at (0.183, 0.500, 0.682), Cu at (0.093, 0.500, 0.591), Cu at (0.230, 0.000, 0.229), Pt at (0.000, 0.500, 0.500) and Pt at (0.138, 0.000, 0.138).

---

[8]
This record from the Alexandria database describes a geometry-optimized Ti5CuPt8 structure. The functional is PBE-GGA.

The structure belongs to space group I-4 (No. 82); the cell edges are 7.860, 7.860 and 7.461 Å and the angles 90.00°, 90.00° and 90.00°. Symmetry generates all atoms from Ti at (0.000, 0.000, 0.000), Ti at (0.118, 0.800, 0.613), Cu at (0.000, 0.500, 0.250), Pt at (0.068, 0.660, 0.925) and Pt at (0.108, 0.817, 0.264).

---

[9]
This record from the Alexandria database describes a geometry-optimized TiCu2Pt structure. The functional is PBE-GGA.

The structure belongs to space group Fm-3m (No. 225); the cell edges are 6.049, 6.049 and 6.049 Å and the angles 90.00°, 90.00° and 90.00°. Symmetry generates all atoms from Ti at (0.000, 0.000, 0.000), Cu at (0.250, 0.250, 0.250) and Pt at (0.000, 0.000, 0.500).

---

[10]
This record from the Alexandria database describes a geometry-optimized Ti2Cu3Pt3 structure. The functional is PBE-GGA.

The structure belongs to space group R32 (No. 155, hexagonal axes); the cell edges are 7.0925, 7.0925 and 8.0800 Å and the angles 90.00°, 90.00° and 120.00°. Symmetry generates all atoms from Ti at (0.0000, 0.0000, 0.2381), Cu at (0.0000, 0.2698, 0.5000) and Pt at (0.0000, 0.7130, 0.0000).

---

[11]
This record from the Alexandria database describes a geometry-optimized TiCuPt2 structure. The functional is PBE-GGA.

The structure belongs to space group I-42d (No. 122); the cell edges are 6.900, 6.900 and 5.476 Å and the angles 90.00°, 90.00° and 90.00°. Symmetry generates all atoms from Ti at (0.000, 0.000, 0.000), Cu at (0.000, 0.000, 0.500) and Pt at (0.241, 0.250, 0.125).

---

[12]
This record from the Alexandria database describes a geometry-optimized Ti5CuPt6 structure. The functional is PBE-GGA.

The structure belongs to space group Immm (No. 71); the cell edges are 3.990, 7.654 and 12.005 Å and the angles 90.00°, 90.00° and 90.00°. Symmetry generates all atoms from Ti at (0.000, 0.000, 0.000), Ti at (0.000, 0.000, 0.334), Ti at (0.000, 0.500, 0.341), Cu at (0.000, 0.500, 0.000), Pt at (0.000, 0.244, 0.500) and Pt at (0.000, 0.252, 0.168).

---

[13]
This record from the Alexandria database describes a geometry-optimized Ti4CuPt structure. The functional is PBE-GGA.

The structure belongs to space group P4/mmm (No. 123); the cell edges are 4.277, 4.277 and 6.005 Å and the angles 90.00°, 90.00° and 90.00°. Symmetry generates all atoms from Ti at (0.000, 0.500, 0.245), Cu at (0.000, 0.000, 0.000) and Pt at (0.500, 0.500, 0.500).

---

[14]
This record from the Alexandria database describes a geometry-optimized TiCu3Pt structure. The functional is PBE-GGA.

The calculation puts the polymorph energy (0 for the lowest one) at 0 meV per atom.

The structure belongs to space group P2_1/m (No. 11); the cell edges are 4.705, 4.806 and 6.261 Å and the angles 90.00°, 93.86° and 90.00°. Symmetry generates all atoms from Ti at (0.120, 0.250, 0.309), Cu at (0.366, 0.750, 0.472), Cu at (0.384, 0.002, 0.812) and Pt at (0.097, 0.750, 0.108).

---

[15]
This record from the Alexandria database describes a geometry-optimized TiCuPt structure. The functional is PBE-GGA.

The calculation puts the polymorph energy (0 for the lowest one) at 57 meV per atom.

The structure belongs to space group P4/nmm (No. 129, origin choice 2); the cell edges are 3.212, 3.212 and 8.608 Å and the angles 90.00°, 90.00° and 90.00°. Symmetry generates all atoms from Ti at (0.250, 0.250, 0.101), Cu at (0.250, 0.250, 0.434) and Pt at (0.250, 0.250, 0.745).

---

[16]
This record from the Alexandria database describes a geometry-optimized TiCu5Pt8 structure. The functional is PBE-GGA.

The structure belongs to space group I-4 (No. 82); the cell edges are 7.471, 7.471 and 7.611 Å and the angles 90.00°, 90.00° and 90.00°. Symmetry generates all atoms from Ti at (0.000, 0.000, 0.000), Cu at (0.000, 0.500, 0.250), Cu at (0.116, 0.296, 0.663), Pt at (0.068, 0.166, 0.333) and Pt at (0.102, 0.318, 0.995).

---

[17]
This record from the Alexandria database describes a geometry-optimized Ti2CuPt structure. The functional is PBE-GGA.

The structure belongs to space group P4/mmm (No. 123); the cell edges are 3.242, 3.242 and 5.810 Å and the angles 90.00°, 90.00° and 90.00°. Symmetry generates all atoms from Ti at (0.000, 0.000, 0.243), Cu at (0.500, 0.500, 0.000) and Pt at (0.500, 0.500, 0.500).

---

[18]
This record from the Alexandria database describes a geometry-optimized Ti2CuPt structure. The functional is PBE-GGA.

The structure belongs to space group P4/mmm (No. 123); the cell edges are 3.947, 3.947 and 3.846 Å and the angles 90.00°, 90.00° and 90.00°. Symmetry generates all atoms from Ti at (0.000, 0.500, 0.000), Cu at (0.000, 0.000, 0.500) and Pt at (0.500, 0.500, 0.500).

---

[19]
This record from the Alexandria database describes a geometry-optimized Ti4Cu3Pt2 structure. The functional is PBE-GGA.

The structure belongs to space group C2/m (No. 12); the cell edges are 7.539, 4.353 and 8.376 Å and the angles 90.00°, 90.10° and 90.00°. Symmetry generates all atoms from Ti at (0.000, 0.000, 0.151), Ti at (0.166, 0.500, 0.375), Cu at (0.000, 0.000, 0.500), Cu at (0.167, 0.500, 0.005) and Pt at (0.167, 0.500, 0.682).

---

[20]
This record from the Alexandria database describes a geometry-optimized Ti2Cu3Pt structure. The functional is PBE-GGA.

The structure belongs to space group C2/c (No. 15); the cell edges are 5.593, 7.396 and 8.641 Å and the angles 90.00°, 108.76° and 90.00°. Symmetry generates all atoms from Ti at (0.176, 0.125, 0.102), Cu at (0.000, 0.375, 0.250), Cu at (0.161, 0.375, 0.571) and Pt at (0.000, 0.125, 0.750).

---

[21]
This record from the Alexandria database describes a geometry-optimized Ti2CuPt4 structure. The functional is PBE-GGA.

The calculation puts the polymorph energy (0 for the lowest one) at 79 meV per atom.

The structure belongs to space group Cmce (No. 64); the cell edges are 10.806, 5.470 and 7.951 Å and the angles 90.00°, 90.00° and 90.00°. Symmetry generates all atoms from Ti at (0.141, 0.000, 0.000), Cu at (0.000, 0.000, 0.500), Pt at (0.000, 0.218, 0.235) and Pt at (0.250, 0.247, 0.250).

---

[22]
This record from the Alexandria database describes a geometry-optimized TiCuPt2 structure. The functional is PBE-GGA.

The structure belongs to space group Fm-3m (No. 225); the cell edges are 6.190, 6.190 and 6.190 Å and the angles 90.00°, 90.00° and 90.00°. Symmetry generates all atoms from Ti at (0.000, 0.000, 0.000), Cu at (0.000, 0.000, 0.500) and Pt at (0.250, 0.250, 0.250).

---

[23]
This record from the Alexandria database describes a geometry-optimized TiCuPt structure. The functional is PBE-GGA.

The calculation puts the polymorph energy (0 for the lowest one) at 0 meV per atom.

The structure belongs to space group Cmcm (No. 63); the cell edges are 3.688, 11.869 and 3.985 Å and the angles 90.00°, 90.00° and 90.00°. Symmetry generates all atoms from Ti at (0.000, 0.094, 0.250), Cu at (0.000, 0.249, 0.750) and Pt at (0.000, 0.418, 0.250).

---

no.,total DFT energy (no corrections) (eV per atom)
1,-6.940
2,-6.250
3,-6.106
4,-6.784
5,-6.406
6,-6.435
7,-6.543
8,-7.197
9,-5.863
10,-6.339
11,-6.294
12,-7.487
13,-6.993
14,-5.460
15,-6.525
16,-5.585
17,-6.947
18,-6.991
19,-6.636
20,-6.012
21,-6.783
22,-6.665
23,-6.582